[1]
Compound: Y2CdF
Source: Alexandria via LeMat-Bulk
Functional: GGA-PBE
Structure: optimized geometry Values from VASP.

Quantum ESPRESSO input file:
```
&SYSTEM
  ibrav = 0, nat = 8, ntyp = 3
/
ATOMIC_SPECIES
Y 88.91 Y.upf
F 19.00 F.upf
Cd 112.41 Cd.upf
CELL_PARAMETERS angstrom
7.2473 0.0000 0.0000
0.0000 7.2473 0.0000
3.6236 3.6236 3.6737
ATOMIC_POSITIONS crystal
Y 0.5369 0.1250 0.2500
Y 0.2131 0.6250 0.2500
Y 0.3750 0.4631 0.7500
Y 0.8750 0.7869 0.7500
F 0.5000 0.5000 0.0000
F 0.2500 0.7500 0.5000
Cd 0.0000 0.0000 0.0000
Cd 0.7500 0.2500 0.5000
```

## Properties
**Offset from the most stable computed form**: 0.0 meV/atom
**E_form (uncorrected)**: -1.227 eV per atom
**Calculated density**: 5.32 g/cm³

[2]
Compound: EuGa2Co
Source: Alexandria via LeMat-Bulk
Functional: GGA-PBE
Structure: optimized geometry Values from VASP.

Quantum ESPRESSO input file:
```
&SYSTEM
  ibrav = 0, nat = 4, ntyp = 3
/
ATOMIC_SPECIES
Eu 151.96 Eu.upf
Co 58.93 Co.upf
Ga 69.72 Ga.upf
CELL_PARAMETERS angstrom
-2.0934 1.6347 1.6608
-2.2989 -1.0830 -1.8317
-0.8844 -5.6606 4.4570
ATOMIC_POSITIONS crystal
Eu 0.5000 0.5000 0.5000
Co 0.5000 0.5000 0.0000
Ga 0.0000 0.0000 0.1827
Ga 0.0000 0.0000 0.8173
```

## Properties
**Energy of formation**: -1.023 eV per formula unit
**Calculated density**: 8.17 g/cm³

[3]
Compound: HgPW2
Source: Alexandria via LeMat-Bulk
Functional: GGA-PBE
Structure: optimized geometry Values from VASP.

Quantum ESPRESSO input file:
```
&SYSTEM
  ibrav = 0, nat = 4, ntyp = 3
/
ATOMIC_SPECIES
Hg 200.59 Hg.upf
P 30.97 P.upf
W 183.84 W.upf
CELL_PARAMETERS angstrom
-0.2063 -0.3035 -3.0010
-1.7821 -2.4146 0.3667
-5.7093 4.2086 -0.0333
ATOMIC_POSITIONS crystal
Hg 0.5000 0.5000 0.0000
P 0.5000 0.5000 0.5000
W 0.0000 0.0000 0.6907
W 0.0000 0.0000 0.3093
```

## Properties
**Energy of formation**: 1.226 eV per formula unit
**Offset from the most stable computed form**: 0.0 meV/atom
**Calculated density**: 15.35 g/cm³

[4]
Compound: TiVSe3
Source: Alexandria via LeMat-Bulk
Functional: GGA-PBE
Structure: optimized geometry Values from VASP.

Quantum ESPRESSO input file:
```
&SYSTEM
  ibrav = 0, nat = 5, ntyp = 3
/
ATOMIC_SPECIES
V 50.94 V.upf
Se 78.96 Se.upf
Ti 47.87 Ti.upf
CELL_PARAMETERS angstrom
-2.1795 3.4886 2.6854
1.9297 -1.9363 4.0815
3.9570 2.8657 -0.5113
ATOMIC_POSITIONS crystal
V 0.5000 0.5000 0.5000
Se 0.0000 0.5000 0.0000
Se 0.0000 0.0000 0.5000
Se 0.5000 0.0000 0.0000
Ti 0.0000 0.0000 0.0000
```

## Properties
**Offset from the most stable computed form**: 846.3 meV/atom
**E_form (uncorrected)**: -0.049 eV per atom
**Calculated density**: 4.70 g/cm³

[5]
Compound: Sr3In3Sn
Source: Alexandria via LeMat-Bulk
Functional: GGA-PBE
Structure: optimized geometry Values from VASP.

Quantum ESPRESSO input file:
```
&SYSTEM
  ibrav = 0, nat = 14, ntyp = 3
/
ATOMIC_SPECIES
Sr 87.62 Sr.upf
In 114.82 In.upf
Sn 118.71 Sn.upf
CELL_PARAMETERS angstrom
4.7910 0.0000 0.7217
2.3514 6.1786 0.6539
0.0227 0.2160 16.1130
ATOMIC_POSITIONS crystal
Sr 0.5172 0.3445 0.6211
Sr 0.4828 0.6555 0.3789
Sr 0.2643 0.2430 0.2284
Sr 0.7357 0.7570 0.7716
Sr 0.3890 0.2962 0.9259
Sr 0.6110 0.7038 0.0741
In 0.8576 0.7512 0.5337
In 0.1424 0.2488 0.4663
In 0.1066 0.8643 0.9225
In 0.8934 0.1357 0.0775
In 0.9841 0.8050 0.2268
In 0.0159 0.1950 0.7732
Sn 0.7720 0.0763 0.3796
Sn 0.2280 0.9237 0.6204
```

## Properties
**Energy of formation**: -3.193 eV per formula unit
**Calculated density**: 5.06 g/cm³

[6]
Compound: LaCuGe2Pt
Source: Alexandria via LeMat-Bulk
Functional: GGA-PBE
Structure: optimized geometry Values from VASP.

Quantum ESPRESSO input file:
```
&SYSTEM
  ibrav = 0, nat = 5, ntyp = 4
/
ATOMIC_SPECIES
La 138.91 La.upf
Cu 63.55 Cu.upf
Ge 72.64 Ge.upf
Pt 195.08 Pt.upf
CELL_PARAMETERS angstrom
-1.2224 -1.4133 3.8930
3.0767 -3.0271 -0.1328
2.3873 5.4911 0.3481
ATOMIC_POSITIONS crystal
La 0.0000 0.0000 0.0000
Cu 0.7500 0.2500 0.5000
Ge 0.6236 0.6236 0.2471
Ge 0.3764 0.3764 0.7529
Pt 0.2500 0.7500 0.5000
```

## Properties
**Energy of formation**: -3.703 eV per formula unit
**Calculated density**: 9.36 g/cm³

Look up the calculated density of the fifth one.
5.06 g/cm³